[1]
Compound: Ac3Ge4
Source: Alexandria
Functional: PBE
Structure: relaxed

Properties
- electronic total energy (eV/atom) = -4.880
- total moment (μB per cell) = 0.00
- E_form (eV/atom) = -0.481
- relative energy among the computed polymorphs (meV per atom) = 197

a b c (Å): 4.468 4.264 11.528
angles (deg): 100.66 101.17 90.00
Sites, in units of the cell vectors:
Ac (0.170, 0.670, 0.340)
Ac (0.000, 0.500, 0.000)
Ac (0.830, 0.330, 0.660)
Ge (0.580, 0.080, 0.159)
Ge (0.420, 0.920, 0.841)
Ge (0.307, 0.807, 0.614)
Ge (0.693, 0.193, 0.386)

=====

[2]
Compound: Ac5Ge
Source: Alexandria
Functional: PBE
Structure: relaxed

Properties
- electronic total energy (eV/atom) = -4.354
- total moment (μB per cell) = 0.00
- E_form (eV/atom) = -0.161
- relative energy among the computed polymorphs (meV per atom) = 0

a b c (Å): 4.158 6.993 9.511
angles (deg): 67.55 77.37 72.70
Sites, in units of the cell vectors:
Ac (0.000, 0.500, 0.500)
Ac (0.632, 0.605, 0.131)
Ac (0.368, 0.395, 0.869)
Ac (0.334, 0.040, 0.292)
Ac (0.666, 0.960, 0.708)
Ge (0.000, 0.000, 0.000)

=====

[3]
Compound: AcGe6
Source: Alexandria
Functional: PBE
Structure: relaxed

Properties
- electronic total energy (eV/atom) = -4.495
- total moment (μB per cell) = 0.00
- E_form (eV/atom) = 0.050

a b c (Å): 6.151 6.151 6.151
angles (deg): 109.47 109.47 109.47
Sites, in units of the cell vectors:
Ge (0.500, 0.250, 0.750)
Ge (0.250, 0.500, 0.750)
Ge (0.750, 0.500, 0.250)
Ge (0.750, 0.250, 0.500)
Ge (0.250, 0.750, 0.500)
Ge (0.500, 0.750, 0.250)
Ac (0.000, 0.000, 0.000)

=====

Question: Number 3 is which compound?
Answer: AcGe6